SiMo3I (GGA-PBE, optimized geometry); mass density = 7.45 g/cm3; raw total energy = -33.02 eV/cell; V = 19.73 Å³ per atom
1.0
-3.7287 -2.7269 -0.1113
2.2576 -3.1878 2.4683
-1.5335 1.9374 3.9047
Mo Si I
3 1 1
Cartesian
1.1288 -1.5939 1.2342
-1.8644 -1.3634 -0.0557
-0.7667 0.9687 1.9523
0.0000 0.0000 0.0000
-1.5023 -1.9886 3.1308